The following is a DFT calculation (GGA-PBE) of a geometry-optimized GdSc2Mo structure.

## Properties
* SG: R-3m
* E above lowest polymorph: 414 meV/atom
* E_tot: -8.84 eV per atom
* formation energy from the elements: 0.55 eV/atom

a b c (Å): 11.092 11.092 11.092
angles (deg): 16.13 16.13 16.13
Sites, in units of the cell vectors:
Gd (0.000, 0.000, 0.000)
Sc (0.421, 0.421, 0.421)
Sc (0.579, 0.579, 0.579)
Mo (0.500, 0.500, 0.500)